Crystalline MnPbBrO2 at its relaxed geometry. Source: Alexandria, functional PBE+U.

The structure in POSCAR format:
```
MnPbBrO2
1.0
2.8987 -6.3074 0.0000
2.8987 6.3074 0.0000
0.0000 0.0000 5.5899
Mn Pb Br O
2 2 2 4
Direct
0.0096 0.9904 0.7500 Mn
0.9904 0.0096 0.2500 Mn
0.3836 0.6164 0.7500 Pb
0.6164 0.3836 0.2500 Pb
0.2398 0.7602 0.2500 Br
0.7602 0.2398 0.7500 Br
0.2275 0.2275 0.0000 O
0.2275 0.2275 0.5000 O
0.7725 0.7725 0.0000 O
0.7725 0.7725 0.5000 O
```

Calculated values
E_tot = -5.832 eV per atom